# 1
A geometry-optimized BaLiPbAu2 structure. Source: OQMD, functional PBE.

Properties
Space-group type: I-4m2 (119)
Total DFT energy (no corrections) in eV/f.u.: -16.849

Cell and atoms, written as extended XYZ:
```
5
Lattice="3.287 -5.833 2.790 -3.091 -6.122 2.359 0.157 4.719 -5.505" Properties=species:S:1:pos:R:3 pbc="T T T"
Ba 0.000 0.000 0.000
Li -1.418 -3.690 -0.286
Pb 1.771 -3.545 -0.070
Au 0.076 -4.680 2.016
Au 0.119 -7.275 3.133
```

# 2
A geometry-optimized BaLi2SbAu structure. Source: OQMD, functional PBE.

Properties
Space-group type: I4mm (107)
Total DFT energy (no corrections) in eV/f.u.: -16.604

Cell and atoms, written as extended XYZ:
```
5
Lattice="-2.233 -5.684 2.546 -6.463 -1.392 -0.265 4.789 2.048 -4.080" Properties=species:S:1:pos:R:3 pbc="T T T"
Au -3.231 -2.629 0.848
Li -2.990 -1.424 -1.608
Li -0.875 -3.570 -0.202
Ba -0.057 -0.046 0.015
Sb -5.449 -4.434 1.430
```

# 3
A geometry-optimized BaLiSn2Au2 structure. Source: OQMD, functional PBE.

Properties
Space-group type: P-3m1 (164)
Total DFT energy (no corrections) in eV/f.u.: -21.977

Cell and atoms, written as extended XYZ:
```
6
Lattice="-3.430 3.048 1.293 0.829 -3.903 2.609 5.184 3.995 4.330" Properties=species:S:1:pos:R:3 pbc="T T T"
Ba 2.592 1.998 2.165
Sn 3.617 1.657 5.686
Au 0.368 -0.847 2.971
Li 0.000 0.000 0.000
Sn -1.035 1.483 2.547
Au 2.215 3.988 5.261
```

# 4
A geometry-optimized BaLiZnAu2 structure. Source: OQMD, functional PBE.

Properties
Space-group type: I-4m2 (119)
Total DFT energy (no corrections) in eV/f.u.: -14.442

Cell and atoms, written as extended XYZ:
```
5
Lattice="1.040 2.318 6.186 4.051 5.129 1.416 -4.956 -1.724 -4.145" Properties=species:S:1:pos:R:3 pbc="T T T"
Zn 0.820 3.564 0.536
Ba 0.000 0.000 0.000
Au 3.176 4.645 4.743
Li -0.686 2.159 2.921
Au 1.915 2.801 2.860
```

# 5
A geometry-optimized BaLu2Au structure. Source: OQMD, functional PBE.

Properties
Space-group type: F-43m (216)
Total DFT energy (no corrections) in eV/f.u.: -13.851

Cell and atoms, written as extended XYZ:
```
4
Lattice="-2.224 0.977 4.950 -4.378 3.322 0.449 -4.938 -2.102 1.268" Properties=species:S:1:pos:R:3 pbc="T T T"
Lu -2.885 0.549 1.667
Lu 0.000 0.000 0.000
Ba -8.655 1.648 5.000
Au -5.770 1.098 3.334
```

# 6
A geometry-optimized BaLuAuS3 structure. Source: OQMD, functional PBE.

Properties
Space-group type: P2_1/m (11)
Total DFT energy (no corrections) in eV/f.u.: -31.382
Excess energy over the best structure of this formula in the dataset in eV per atom: 0.002

Cell and atoms, written as extended XYZ:
```
12
Lattice="-0.728 -5.054 -6.135 -2.883 -2.009 1.997 -6.070 7.182 -1.538" Properties=species:S:1:pos:R:3 pbc="T T T"
Lu -5.187 0.727 -4.712
S -6.994 2.691 -5.346
S -6.355 0.801 -2.234
Ba -4.081 -3.743 -3.521
S -2.949 1.623 -0.580
Lu -4.494 -0.607 -0.964
Au -1.408 -0.343 -0.333
S -6.732 -1.503 -5.096
S -3.326 -0.681 -3.442
Au -8.273 0.463 -5.343
Ba -5.600 3.862 -2.155
S -2.687 -2.571 -0.330
```

# 7
A geometry-optimized BaLuAuS3 structure. Source: OQMD, functional PBE.

Properties
Space-group type: Cmcm (63)
Total DFT energy (no corrections) in eV/f.u.: -31.395
Excess energy over the best structure of this formula in the dataset in eV per atom: 0.000

Cell and atoms, written as extended XYZ:
```
12
Lattice="2.035 -6.895 0.000 2.035 6.895 0.000 0.000 0.000 10.224" Properties=species:S:1:pos:R:3 pbc="T T T"
S 2.035 -1.040 7.668
Ba 2.035 3.478 7.668
S 2.035 -5.073 9.776
S 2.035 -5.073 5.560
S 2.035 1.040 2.556
Lu 2.035 0.000 0.000
S 2.035 5.073 0.448
Au 2.035 -6.349 7.668
Au 2.035 6.349 2.556
Ba 2.035 -3.478 2.556
Lu 2.035 0.000 5.112
S 2.035 5.073 4.664
```

# 8
A geometry-optimized BaLuAuS3 structure. Source: OQMD, functional PBE.

Properties
Space-group type: Pnma (62)
Total DFT energy (no corrections) in eV/f.u.: -31.094
Excess energy over the best structure of this formula in the dataset in eV per atom: 0.050

Cell and atoms, written as extended XYZ:
```
24
Lattice="4.074 0.000 0.000 0.000 11.108 0.000 0.000 0.000 12.810" Properties=species:S:1:pos:R:3 pbc="T T T"
Au 1.018 8.139 2.530
Au 3.055 2.969 10.280
S 1.018 9.126 0.334
S 1.018 2.232 2.497
S 1.018 5.931 11.392
S 1.018 10.731 4.987
S 3.055 8.876 10.313
Lu 1.018 3.782 0.251
Au 1.018 8.523 8.935
Lu 3.055 7.326 12.559
Ba 1.018 5.293 4.130
Lu 1.018 1.772 6.656
Ba 3.055 10.847 2.275
S 3.055 3.572 6.071
Ba 1.018 0.261 10.535
S 1.018 7.536 6.739
Ba 3.055 5.815 8.680
S 3.055 0.377 7.823
S 3.055 1.982 12.476
Au 3.055 2.585 3.875
S 1.018 3.322 8.901
Lu 3.055 9.336 6.154
S 3.055 5.177 1.418
S 3.055 7.786 3.908
```